DFT (PBE) results for a relaxed MgIn2RhPb crystal.

## Properties
The calculation puts the formation energy at -0.09 eV/atom.

Cell: 5.143 5.143 4.995 Å, 90.00 90.00 90.00°
Space group P4/mmm (No. 123)
Inequivalent atoms, fractional coordinates:
Mg1 0.000 0.000 0.000 (multiplicity 1)
In1 0.000 0.500 0.500 (multiplicity 2)
Rh1 0.000 0.000 0.500 (multiplicity 1)
Pb1 0.500 0.500 0.000 (multiplicity 1)


DFT (PBE) results for a relaxed CdSn4Se5 crystal.

## Properties
The total DFT energy (no corrections) is -77.46 eV per cell.

Cell: 9.467 9.467 6.068 Å, 90.00 90.00 90.00°
Space group I4 (No. 79)
Inequivalent atoms, fractional coordinates:
Cd1 0.000 0.000 0.000 (multiplicity 2)
Sn1 0.104 0.297 0.520 (multiplicity 8)
Se1 0.000 0.000 0.531 (multiplicity 2)
Se2 0.098 0.288 0.039 (multiplicity 8)


DFT (PBE) results for a relaxed K2TlCl crystal.

## Properties
The excess energy over the best structure of this formula in the dataset is 0.00 eV/f.u.

Cell: 7.278 4.137 10.138 Å, 90.00 103.16 90.00°
Space group C2/m (No. 12)
Inequivalent atoms, fractional coordinates:
K1 0.233 0.000 0.201 (multiplicity 4)
Tl1 0.000 0.000 0.500 (multiplicity 2)
Cl1 0.000 0.500 0.000 (multiplicity 2)